(1)
Material: PaTiMnNb
Method: DFT, PBE
State: optimized geometry

```
PaTiMnNb
1.0
4.618 0.000 0.000
2.309 3.999 0.000
2.309 1.333 3.770
Pa Ti Mn Nb
1 1 1 1
direct
0.500 0.500 0.500
0.000 0.000 0.000
0.750 0.750 0.750
0.250 0.250 0.250
```

Computed properties:
For the formation energy from the elements, the calculation gives 14 meV per atom. The spin magnetization comes out at 0.0403 μB/atom.



(2)
Material: ZrPaMnNb
Method: DFT, PBE
State: optimized geometry

```
ZrPaMnNb
1.0
4.767 0.000 0.000
2.383 4.128 0.000
2.383 1.376 3.892
Zr Nb Pa Mn
1 1 1 1
direct
0.250 0.250 0.250
0.000 0.000 0.000
0.750 0.750 0.750
0.500 0.500 0.500
```

Computed properties:
For the formation energy from the elements, the calculation gives 103 meV per atom. The spin magnetization comes out at 0.1480 μB/atom.



(3)
Material: MnNbPb
Method: DFT, PBE
State: optimized geometry

```
MnNbPb
1.0
3.095 0.000 -0.003
0.000 3.165 0.000
-1.460 0.000 5.892
Mn Pb Nb
1 1 1
direct
0.729 0.000 0.949
0.433 0.500 0.277
0.189 0.500 0.730
```

Computed properties:
For the formation energy from the elements, the calculation gives 385 meV per atom. The excess energy over the best structure of this formula in the dataset comes out at 0.189 eV per atom. The spin magnetization comes out at 0.0000 μB/atom.



(4)
Material: MnNbPb
Method: DFT, PBE
State: optimized geometry

```
MnNbPb
1.0
-2.466 -0.567 1.688
1.247 -5.303 2.576
3.342 0.442 6.341
Nb Pb Mn
2 2 2
direct
0.193 0.646 0.759
0.695 0.089 0.874
0.689 0.450 0.153
0.194 0.878 0.297
0.489 0.074 0.554
0.905 0.423 0.553
```

Computed properties:
For the formation energy from the elements, the calculation gives 388 meV per atom. The excess energy over the best structure of this formula in the dataset comes out at 0.193 eV per atom. The spin magnetization comes out at 0.0030 μB/atom.



(5)
Material: MnNbPb
Method: DFT, PBE
State: optimized geometry

```
MnNbPb
1.0
3.222 0.000 -0.051
0.000 3.747 0.000
-3.197 0.000 21.147
Pb Nb Mn
4 4 4
direct
0.057 0.000 0.826
0.057 0.500 0.326
0.943 0.500 0.674
0.943 0.000 0.174
0.322 0.500 0.066
0.322 0.000 0.566
0.678 0.000 0.434
0.678 0.500 0.934
0.792 0.500 0.539
0.208 0.000 0.961
0.792 0.000 0.039
0.208 0.500 0.461
```

Computed properties:
For the formation energy from the elements, the calculation gives 196 meV per atom. The excess energy over the best structure of this formula in the dataset comes out at 0.000 eV per atom. The spin magnetization comes out at 0.0000 μB/atom.



(6)
Material: MnNb3Pb
Method: DFT, PBE
State: optimized geometry

```
MnNb3Pb
1.0
4.664 0.000 0.000
0.000 4.664 0.000
0.000 0.000 4.664
Pb Nb Mn
1 3 1
direct
0.500 0.500 0.500
0.000 0.500 0.000
0.000 0.000 0.500
0.500 0.000 0.000
0.000 0.000 0.000
```

Computed properties:
For the formation energy from the elements, the calculation gives 569 meV per atom. The excess energy over the best structure of this formula in the dataset comes out at 0.000 eV per atom. The spin magnetization comes out at 0.0000 μB/atom.



(7)
Material: Mn2NbPb
Method: DFT, PBE
State: optimized geometry

```
Mn2NbPb
1.0
0.000 3.138 3.138
3.138 0.000 3.138
3.138 3.138 0.000
Nb Pb Mn
1 1 2
direct
0.000 0.000 0.000
0.500 0.500 0.500
0.750 0.750 0.750
0.250 0.250 0.250
```

Computed properties:
For the formation energy from the elements, the calculation gives 358 meV per atom. The excess energy over the best structure of this formula in the dataset comes out at 0.000 eV per atom. The spin magnetization comes out at 0.2473 μB/atom.



(8)
Material: MnNbPb
Method: DFT, PBE
State: optimized geometry

```
MnNbPb
1.0
5.588 0.000 0.010
0.000 3.247 0.000
-3.139 0.000 12.710
Nb Pb Mn
4 4 4
direct
0.453 0.500 0.362
0.001 0.000 0.442
0.001 0.500 0.942
0.453 0.000 0.862
0.574 0.500 0.065
0.139 0.000 0.165
0.574 0.000 0.565
0.139 0.500 0.665
0.936 0.000 0.804
0.936 0.500 0.304
0.646 0.000 0.257
0.646 0.500 0.757
```

Computed properties:
For the formation energy from the elements, the calculation gives 370 meV per atom. The excess energy over the best structure of this formula in the dataset comes out at 0.174 eV per atom. The spin magnetization comes out at 0.1052 μB/atom.



(9)
Material: Mn3NbPb
Method: DFT, PBE
State: optimized geometry

```
Mn3NbPb
1.0
-0.943 4.541 1.219
-1.198 -1.435 4.417
4.547 0.564 1.416
Mn Nb Pb
3 1 1
direct
0.500 0.000 0.000
0.000 0.000 0.500
0.000 0.500 0.000
0.000 0.000 0.000
0.500 0.500 0.500
```

Computed properties:
For the formation energy from the elements, the calculation gives 1135 meV per atom. The excess energy over the best structure of this formula in the dataset comes out at 0.000 eV per atom. The spin magnetization comes out at 1.7608 μB/atom.



(10)
Material: MnNbPb
Method: DFT, PBE
State: optimized geometry

```
MnNbPb
1.0
6.472 0.000 -0.244
0.000 3.586 0.000
-3.227 0.000 10.134
Pb Mn Nb
4 4 4
direct
0.910 0.500 0.774
0.687 0.000 0.954
0.687 0.500 0.454
0.910 0.000 0.274
0.238 0.500 0.440
0.238 0.000 0.940
0.521 0.500 0.111
0.521 0.000 0.611
0.075 0.000 0.591
0.380 0.500 0.756
0.075 0.500 0.091
0.380 0.000 0.256
```

Computed properties:
For the formation energy from the elements, the calculation gives 333 meV per atom. The excess energy over the best structure of this formula in the dataset comes out at 0.137 eV per atom. The spin magnetization comes out at 1.0231 μB/atom.



(11)
Material: MnNbPb2
Method: DFT, PBE
State: optimized geometry

```
MnNbPb2
1.0
0.000 3.408 3.408
3.408 0.000 3.408
3.408 3.408 0.000
Nb Pb Mn
1 2 1
direct
0.500 0.500 0.500
0.250 0.250 0.250
0.750 0.750 0.750
0.000 0.000 0.000
```

Computed properties:
For the formation energy from the elements, the calculation gives 842 meV per atom. The excess energy over the best structure of this formula in the dataset comes out at 0.121 eV per atom. The spin magnetization comes out at 0.0001 μB/atom.



(12)
Material: Mn2NbPb
Method: DFT, PBE
State: optimized geometry

```
Mn2NbPb
1.0
-0.956 -0.860 -7.205
-3.061 -6.542 1.187
-4.556 -2.474 -2.818
Pb Nb Mn
2 2 4
direct
0.000 0.000 0.000
0.750 0.250 0.500
0.500 0.500 0.000
0.250 0.750 0.500
0.875 0.849 0.750
0.151 0.625 0.250
0.599 0.125 0.250
0.375 0.401 0.750
```

Computed properties:
For the formation energy from the elements, the calculation gives 749 meV per atom. The excess energy over the best structure of this formula in the dataset comes out at 0.391 eV per atom. The spin magnetization comes out at 1.2997 μB/atom.



Repeat the sixth record exactly.
Material: MnNb3Pb
Method: DFT, PBE
State: optimized geometry

```
MnNb3Pb
1.0
4.664 0.000 0.000
0.000 4.664 0.000
0.000 0.000 4.664
Pb Nb Mn
1 3 1
direct
0.500 0.500 0.500
0.000 0.500 0.000
0.000 0.000 0.500
0.500 0.000 0.000
0.000 0.000 0.000
```

Computed properties:
For the formation energy from the elements, the calculation gives 569 meV per atom. The excess energy over the best structure of this formula in the dataset comes out at 0.000 eV per atom. The spin magnetization comes out at 0.0000 μB/atom.